This record from Alexandria describes a relaxed structure of Li2CaIn2Ga2. The functional is GGA-PBE.

Output
- Total DFT energy (no corrections): -2.791 eV per atom
- DFT formation energy: -0.3111 eV per atom

a = 4.551 Å, b = 4.551 Å, c = 8.950 Å
α = 75.27°, β = 75.27°, γ = 60.00°
Fractional positions:
Ga1 0.554 0.554 0.337
Ga2 0.446 0.446 0.663
Li1 0.141 0.141 0.576
Li2 0.859 0.859 0.424
In1 0.744 0.744 0.769
In2 0.256 0.256 0.231
Ca1 0.000 0.000 0.000

---

This record from Alexandria describes a relaxed structure of CsNbTe2N. The functional is GGA-PBE.

Output
- Energy above the most stable polymorph in this dataset: 2298 meV per atom
- Total DFT energy (no corrections): -3.002 eV per atom
- Raw formation energy: 2.104 eV/atom

a = 6.217 Å, b = 6.217 Å, c = 4.304 Å
α = 90.00°, β = 90.00°, γ = 90.00°
Fractional positions:
N1 0.000 0.000 0.500
Nb1 0.500 0.500 0.500
Te1 0.500 0.000 0.000
Te2 0.000 0.500 0.000
Cs1 0.000 0.000 0.000

---

This record from Alexandria describes a relaxed structure of Rb4NaI5. The functional is GGA-PBE.

Output
- Energy above the most stable polymorph in this dataset: 12 meV per atom
- Total DFT energy (no corrections): -2.719 eV per atom
- Raw formation energy: -1.425 eV/atom

a = 5.210 Å, b = 5.210 Å, c = 18.543 Å
α = 98.08°, β = 98.08°, γ = 90.00°
Fractional positions:
Rb1 0.197 0.197 0.394
Rb2 0.597 0.597 0.195
Rb3 0.803 0.803 0.606
Rb4 0.403 0.403 0.805
I1 0.091 0.091 0.182
I2 0.909 0.909 0.818
I3 0.500 0.500 0.000
I4 0.700 0.700 0.399
I5 0.300 0.300 0.601
Na1 0.000 0.000 0.000

---

This record from Alexandria describes a relaxed structure of SiSbAuBr2. The functional is GGA-PBE.

Output
- Total DFT energy (no corrections): -2.588 eV per atom
- Raw formation energy: 0.646 eV/atom

a = 5.149 Å, b = 5.637 Å, c = 5.149 Å
α = 90.00°, β = 90.00°, γ = 90.00°
Fractional positions:
Br1 0.000 0.000 0.500
Br2 0.500 0.000 0.000
Sb1 0.000 0.500 0.000
Au1 0.000 0.000 0.000
Si1 0.500 0.500 0.500

---

This record from Alexandria describes a relaxed structure of Li2CaHg. The functional is GGA-PBE.

Output
- Total DFT energy (no corrections): -1.775 eV per atom
- DFT formation energy: -0.2418 eV per atom

a = 5.518 Å, b = 5.518 Å, c = 4.842 Å
α = 64.33°, β = 64.33°, γ = 45.54°
Fractional positions:
Ca1 0.496 0.496 0.504
Li1 0.008 0.008 0.991
Li2 0.262 0.262 0.235
Hg1 0.734 0.734 0.770

---

This record from Alexandria describes a relaxed structure of CaGdHo2. The functional is GGA-PBE.

Output
- Energy above the most stable polymorph in this dataset: 37 meV per atom
- Total DFT energy (no corrections): -6.138 eV per atom
- DFT formation energy: 0.1718 eV per atom

a = 3.535 Å, b = 3.535 Å, c = 12.688 Å
α = 81.99°, β = 81.99°, γ = 60.00°
Fractional positions:
Ho1 0.091 0.091 0.727
Ho2 0.909 0.909 0.273
Gd1 0.500 0.500 0.500
Ca1 0.000 0.000 0.000

---

This record from Alexandria describes a relaxed structure of RbBaNa2Hg. The functional is GGA-PBE.

Output
- Total DFT energy (no corrections): -1.238 eV per atom
- DFT formation energy: -0.0717 eV per atom

a = 6.276 Å, b = 6.276 Å, c = 6.498 Å
α = 90.00°, β = 90.00°, γ = 90.00°
Fractional positions:
Ba1 0.000 0.000 0.500
Rb1 0.500 0.500 0.500
Na1 0.000 0.500 0.000
Na2 0.500 0.000 0.000
Hg1 0.000 0.000 0.000

---

This record from Alexandria describes a relaxed structure of Sr2In12Au7. The functional is GGA-PBE.

Output
- Total DFT energy (no corrections): -3.160 eV per atom
- DFT formation energy: -0.3424 eV per atom

a = 4.356 Å, b = 11.640 Å, c = 11.640 Å
α = 120.00°, β = 90.00°, γ = 90.00°
Fractional positions:
Au1 0.000 0.046 0.797
Au2 0.500 0.912 0.373
Au3 0.500 0.627 0.539
Au4 0.000 0.203 0.249
Au5 0.000 0.333 0.667
Au6 0.500 0.461 0.088
Au7 0.000 0.751 0.954
Sr1 0.500 0.000 0.000
Sr2 0.000 0.667 0.333
In1 0.000 0.954 0.230
In2 0.500 0.898 0.616
In3 0.000 0.770 0.724
In4 0.000 0.452 0.507
In5 0.500 0.202 0.443
In6 0.000 0.276 0.046
In7 0.000 0.493 0.945
In8 0.500 0.557 0.759
In9 0.500 0.384 0.282
In10 0.500 0.241 0.798
In11 0.000 0.055 0.548
In12 0.500 0.718 0.102

---

This record from Alexandria describes a relaxed structure of CsPrI2. The functional is GGA-PBE.

Output
- Total DFT energy (no corrections): -3.232 eV per atom
- Raw formation energy: -1.049 eV/atom

a = 4.303 Å, b = 4.303 Å, c = 10.437 Å
α = 78.10°, β = 78.10°, γ = 60.00°
Fractional positions:
Pr1 0.000 0.000 0.000
I1 0.739 0.739 0.784
I2 0.261 0.261 0.216
Cs1 0.500 0.500 0.500

---

This record from Alexandria describes a relaxed structure of NaAgCl2. The functional is GGA-PBE.

Output
- Energy above the most stable polymorph in this dataset: 4 meV per atom
- Total DFT energy (no corrections): -3.058 eV per atom
- Raw formation energy: -1.092 eV/atom

a = 4.368 Å, b = 4.368 Å, c = 7.437 Å
α = 72.80°, β = 72.79°, γ = 59.92°
Fractional positions:
Ag1 0.239 0.684 0.181
Cl1 0.115 0.560 0.555
Cl2 0.611 0.056 0.066
Na1 0.740 0.185 0.677

---

This record from Alexandria describes a relaxed structure of Mg2ZrBr. The functional is GGA-PBE.

Output
- Energy above the most stable polymorph in this dataset: 264 meV per atom
- Total DFT energy (no corrections): -3.368 eV per atom
- Raw formation energy: -0.016 eV/atom

a = 5.674 Å, b = 3.174 Å, c = 5.960 Å
α = 63.67°, β = 90.00°, γ = 90.00°
Fractional positions:
Mg1 0.000 0.716 0.494
Mg2 0.000 0.784 0.006
Br1 0.500 0.750 0.750
Zr1 0.500 0.250 0.250

---

This record from Alexandria describes a relaxed structure of BeZnAg. The functional is GGA-PBE.

Output
- Energy above the most stable polymorph in this dataset: 59 meV per atom
- Total DFT energy (no corrections): -2.507 eV per atom
- DFT formation energy: 0.1097 eV per atom

a = 4.682 Å, b = 4.117 Å, c = 4.721 Å
α = 90.00°, β = 115.18°, γ = 90.00°
Fractional positions:
Zn1 0.841 0.250 0.389
Zn2 0.159 0.750 0.611
Be1 0.453 0.250 0.610
Be2 0.547 0.750 0.390
Ag1 0.232 0.250 0.030
Ag2 0.768 0.750 0.970

---

no.,size of the total moment (μB/f.u.)
1,0.0
2,3.2
3,0.0
4,0.0
5,0.0
6,7.0
7,0.0
8,0.0
9,0.0
10,0.0
11,0.0
12,0.0